(1)
# GGA-PBE Hf3Pb2, optimized geometry
# Total magnetization, μB/f.u.: 0.0
# Fermi-level density of states, states/eV/cell: 7.35
# Total DFT energy (no corrections), eV/cell: -74.03
data_Hf3Pb2
_cell_length_a 10.750
_cell_length_b 3.307
_cell_length_c 8.156
_cell_angle_alpha 90.00
_cell_angle_beta 125.29
_cell_angle_gamma 90.00
_symmetry_space_group_name_H-M 'C 1 2/m 1'
_symmetry_Int_Tables_number 12
loop_
_symmetry_equiv_pos_as_xyz
'x,y,z'
'-x,-y,-z'
'-x,y,-z'
'x,-y,z'
'x+1/2,y+1/2,z'
'-x+1/2,-y+1/2,-z'
'-x+1/2,y+1/2,-z'
'x+1/2,-y+1/2,z'
loop_
_atom_site_label
_atom_site_type_symbol
_atom_site_fract_x
_atom_site_fract_y
_atom_site_fract_z
Hf1 Hf 0.000 0.000 0.000
Hf2 Hf 0.101 0.500 0.389
Pb1 Pb 0.194 0.000 0.776

=====

(2)
# GGA-PBE LiYBi2Pd, optimized geometry
# Total magnetization, μB/f.u.: 0.3
# Fermi-level density of states, states/eV/cell: 4.39
# Total DFT energy (no corrections), eV/cell: -17.62
data_LiYBi2Pd
_cell_length_a 5.771
_cell_length_b 5.771
_cell_length_c 5.508
_cell_angle_alpha 90.00
_cell_angle_beta 90.00
_cell_angle_gamma 90.00
_symmetry_space_group_name_H-M 'P 4/m m m'
_symmetry_Int_Tables_number 123
_symmetry_space_group_name_Hall '-P 4 2'
loop_
_atom_site_label
_atom_site_type_symbol
_atom_site_fract_x
_atom_site_fract_y
_atom_site_fract_z
Li1 Li 0.000 0.000 0.000
Y1 Y 0.000 0.000 0.500
Bi1 Bi 0.000 0.500 0.500
Pd1 Pd 0.500 0.500 0.000

=====

(3)
# GGA-PBE LaTeRu2, optimized geometry
# Total magnetization, μB/f.u.: 0.0
# Fermi-level density of states, states/eV/cell: 12.65
# E_form (uncorrected), eV/atom: -0.329
# Total DFT energy (no corrections), eV/cell: -83.81
data_LaTeRu2
_cell_length_a 4.3782
_cell_length_b 4.3782
_cell_length_c 16.6624
_cell_angle_alpha 90.00
_cell_angle_beta 90.00
_cell_angle_gamma 120.00
_symmetry_space_group_name_H-M 'R 3 m'
_symmetry_Int_Tables_number 160
_symmetry_space_group_name_Hall 'R 3 -2"'
loop_
_atom_site_label
_atom_site_type_symbol
_atom_site_fract_x
_atom_site_fract_y
_atom_site_fract_z
La1 La 0.0000 0.0000 0.0000
Te1 Te 0.0000 0.0000 0.1976
Ru1 Ru 0.0000 0.0000 0.4538
Ru2 Ru 0.0000 0.0000 0.7849

=====

(4)
# GGA-PBE TaIn2W, optimized geometry
# Total magnetization, μB/f.u.: 0.0
# Fermi-level density of states, states/eV/cell: 2.45
# Total DFT energy (no corrections), eV/cell: -28.42
data_TaIn2W
_cell_length_a 2.905
_cell_length_b 2.905
_cell_length_c 9.603
_cell_angle_alpha 90.00
_cell_angle_beta 90.00
_cell_angle_gamma 90.00
_symmetry_space_group_name_H-M 'P 4 m m'
_symmetry_Int_Tables_number 99
loop_
_symmetry_equiv_pos_as_xyz
'x,y,z'
'-y,x,z'
'-x,-y,z'
'y,-x,z'
'-x,y,z'
'y,x,z'
'x,-y,z'
'-y,-x,z'
loop_
_atom_site_label
_atom_site_type_symbol
_atom_site_fract_x
_atom_site_fract_y
_atom_site_fract_z
Ta1 Ta 0.000 0.000 0.000
In1 In 0.000 0.000 0.458
In2 In 0.500 0.500 0.760
W1 W 0.500 0.500 0.224

=====

no.,calculated volume (A^3/atom)
1,23.666
2,36.692
3,23.056
4,20.254